Here is an optimized crystal structure of Na3MoO6 from the Alexandria database. Energies are from GGA+U.

Lattice parameters (Å, degrees): 5.8221 5.8221 9.8886 90.00 90.00 120.00
Space group P6_322 (No. 182)
One atom of each set of equivalent atoms:
Na 0.0000 0.0000 0.0000
Na 0.3333 0.6667 0.0788
Mo 0.3333 0.6667 0.7500
O 0.0913 0.3753 0.6378

**Magnetization**: 3.0 μB/f.u.
**Fermi-level density of states**: 3.5 states/eV per cell
**Energy**: -5.2364 eV/atom